[1]
Computed, not measured: Nd2Ge2Au after structural relaxation at the PBE-GGA level of DFT.

Results
* excess energy over the best structure of this formula in the dataset: 0 meV/atom

Unit cell a=5.996 b=5.996 c=11.199 alpha=117.39 beta=117.39 gamma=43.63
Fractional coordinates of all 10 atoms:
Nd1 0.095 0.095 0.403
Nd2 0.296 0.296 0.844
Nd3 0.704 0.704 0.156
Nd4 0.905 0.905 0.597
Ge1 0.033 0.033 0.909
Ge2 0.370 0.370 0.391
Ge3 0.630 0.630 0.609
Ge4 0.967 0.967 0.091
Au1 0.418 0.418 0.178
Au2 0.582 0.582 0.822



[2]
Computed, not measured: LiTaRu2 after structural relaxation at the PBE-GGA level of DFT.

Results
* excess energy over the best structure of this formula in the dataset: 103 meV/atom

Unit cell a=4.288 b=4.288 c=3.141 alpha=90.00 beta=90.00 gamma=90.00
Fractional coordinates of all 4 atoms:
Li1 0.000 0.000 0.000
Ta1 0.500 0.500 0.000
Ru1 0.000 0.500 0.500
Ru2 0.500 0.000 0.500



[3]
Computed, not measured: NaFe3H after structural relaxation at the PBE-GGA level of DFT.

Results
* excess energy over the best structure of this formula in the dataset: 0 meV/atom

Unit cell a=3.843 b=3.843 c=3.843 alpha=90.00 beta=90.00 gamma=90.00
Fractional coordinates of all 5 atoms:
Na1 0.000 0.000 0.000
Fe1 0.000 0.500 0.500
Fe2 0.500 0.000 0.500
Fe3 0.500 0.500 0.000
H1 0.500 0.500 0.500



[4]
Computed, not measured: BeNi2Ru after structural relaxation at the PBE-GGA level of DFT.

Results
* uncorrected energy: -6.14 eV/atom

Unit cell a=7.954 b=7.954 c=7.954 alpha=18.59 beta=18.59 gamma=18.59
Fractional coordinates of all 4 atoms:
Be1 0.000 0.000 0.000
Ni1 0.258 0.258 0.258
Ni2 0.742 0.742 0.742
Ru1 0.500 0.500 0.500



[5]
Computed, not measured: Al4InBr after structural relaxation at the PBE-GGA level of DFT.

Results
* formation energy without anion corrections: 0.18 eV/atom

Unit cell a=5.686 b=5.686 c=5.686 alpha=60.00 beta=60.00 gamma=60.00
Fractional coordinates of all 6 atoms:
Al1 0.125 0.125 0.125
Al2 0.125 0.125 0.624
Al3 0.125 0.624 0.125
Al4 0.624 0.125 0.125
In1 0.500 0.500 0.500
Br1 0.750 0.750 0.750



[6]
Computed, not measured: PrDy5Sc3 after structural relaxation at the PBE-GGA level of DFT.

Results
* uncorrected energy: -4.63 eV/atom

Unit cell a=8.660 b=8.660 c=10.432 alpha=117.11 beta=117.11 gamma=76.29
Fractional coordinates of all 18 atoms:
Pr1 0.235 0.235 0.331
Pr2 0.765 0.765 0.669
Dy1 0.153 0.153 0.593
Dy2 0.165 0.634 0.263
Dy3 0.280 0.720 0.000
Dy4 0.301 0.301 0.988
Dy5 0.366 0.835 0.737
Dy6 0.634 0.165 0.263
Dy7 0.699 0.699 0.012
Dy8 0.720 0.280 0.000
Dy9 0.835 0.366 0.737
Dy10 0.847 0.847 0.407
Sc1 0.000 0.000 0.000
Sc2 0.028 0.028 0.764
Sc3 0.429 0.429 0.741
Sc4 0.500 0.500 0.500
Sc5 0.571 0.571 0.259
Sc6 0.972 0.972 0.236